[1]
Compound: SrSb2Br
Source: Alexandria via LeMat-Bulk
Functional: PBE
Structure: optimized geometry

a b c (Å): 4.3452 4.3223 7.9708
angles (deg): 57.33 90.00 90.00
Last column: nearest neighbours and their distance in Å.
Fractional positions:
Br (0.0000, 0.0000, 0.5000)  4 Sr 3.06
Sb (0.0000, 0.0000, 0.0000)  4 Sb 3.06
Sb (0.5000, 0.5000, 0.0000)  4 Sb 3.06
Sr (0.5000, 0.5000, 0.5000)  4 Br 3.06

Calculated values
crystal system	monoclinic
symmetry	No. 10
uncorrected formation energy	-0.834	eV/atom

[2]
Compound: Sr2Sb2Br
Source: Alexandria via LeMat-Bulk
Functional: PBE
Structure: optimized geometry

a b c (Å): 8.9923 8.9923 4.3423
angles (deg): 90.00 90.00 90.00
Last column: nearest neighbours and their distance in Å.
Fractional positions:
Sb (0.3909, 0.8909, 0.0000)  1 Sb 2.77
Sb (0.8909, 0.6091, 0.0000)  1 Sb 2.77
Sb (0.1091, 0.3909, 0.0000)  1 Sb 2.77
Sb (0.6091, 0.1091, 0.0000)  1 Sb 2.77
Br (0.0000, 0.0000, 0.0000)  4 Sb 3.65, 8 Sr 3.94
Br (0.5000, 0.5000, 0.0000)  4 Sb 3.65, 8 Sr 3.94
Sr (0.3148, 0.1852, 0.5000)  6 Sb 3.40-3.49
Sr (0.6852, 0.8148, 0.5000)  6 Sb 3.40-3.49
Sr (0.8148, 0.3148, 0.5000)  6 Sb 3.40-3.49
Sr (0.1852, 0.6852, 0.5000)  6 Sb 3.40-3.49

Calculated values
crystal system	tetragonal
symmetry	No. 127
uncorrected formation energy	-0.905	eV/atom

Which value of uncorrected formation energy does entry 2 give? -0.905 eV/atom

Which formula does entry 2 have? Sr2Sb2Br

Copy entry 2 word for word.
Compound: Sr2Sb2Br
Source: Alexandria via LeMat-Bulk
Functional: PBE
Structure: optimized geometry

a b c (Å): 8.9923 8.9923 4.3423
angles (deg): 90.00 90.00 90.00
Last column: nearest neighbours and their distance in Å.
Fractional positions:
Sb (0.3909, 0.8909, 0.0000)  1 Sb 2.77
Sb (0.8909, 0.6091, 0.0000)  1 Sb 2.77
Sb (0.1091, 0.3909, 0.0000)  1 Sb 2.77
Sb (0.6091, 0.1091, 0.0000)  1 Sb 2.77
Br (0.0000, 0.0000, 0.0000)  4 Sb 3.65, 8 Sr 3.94
Br (0.5000, 0.5000, 0.0000)  4 Sb 3.65, 8 Sr 3.94
Sr (0.3148, 0.1852, 0.5000)  6 Sb 3.40-3.49
Sr (0.6852, 0.8148, 0.5000)  6 Sb 3.40-3.49
Sr (0.8148, 0.3148, 0.5000)  6 Sb 3.40-3.49
Sr (0.1852, 0.6852, 0.5000)  6 Sb 3.40-3.49

Calculated values
crystal system	tetragonal
symmetry	No. 127
uncorrected formation energy	-0.905	eV/atom